VASP calculation (meta-GGA SCAN) on a crystal of TaAl4 relaxed with PBEsol.

The structure in extended XYZ format:
```
5
Lattice="-3.274 3.274 1.860 3.274 -3.274 1.860 3.274 3.274 -1.860" Properties=species:S:1:pos:R:3 pbc="T T T"
Ta 0.000 0.000 0.000
Al 4.002 1.328 0.000
Al 1.328 2.546 0.000
Al 1.946 0.728 1.860
Al -0.728 1.946 1.860
```

Computed properties:
Space group   No. 87
ρ   6.012 Mg/m³
Calculated formation energy   -171 meV/atom
DOS at the Fermi energy   2.75 states/eV per cell
M_tot   0.0 μB/cell
DFT total energy   -98.45 eV for the cell shown